SrZnAsO (GGA-PBE, relaxed); symmetry = No. 156; ρ = 4.71 g/cm3; formation energy without anion corrections = -1.321 eV/atom; total DFT energy (no corrections) = -4.462 eV/atom
1.0
-0.182 0.963 -3.744
-3.221 -0.045 2.145
0.970 6.357 1.589
Sr Zn As O
1 1 1 1
Cartesian
-0.234 6.928 -0.206 Sr
-1.807 2.921 0.840 Zn
0.583 3.820 0.955 As
-2.088 1.076 0.378 O